1.
A relaxed TbEr12Sc7 crystal. Source: the Alexandria database, functional PBE.

Computed properties:
**ΔE to the lowest computed polymorph**: 0.000 eV per atom
**Symmetry**: R-3m, No. 166
**Crystal system**: trigonal
**Total magnetic moment**: 0.0001 μB per atom
**Energy relative to the elements**: 0.273 eV per atom

Unit cell a=9.618 b=9.618 c=9.618 alpha=112.74 beta=112.74 gamma=112.74
Element x y z (fractional)
Tb (0.000, 0.000, 0.000)
Er (0.000, 0.283, 0.717)
Er (0.000, 0.717, 0.283)
Er (0.095, 0.427, 0.427)
Er (0.283, 0.000, 0.717)
Er (0.283, 0.717, 0.000)
Er (0.427, 0.095, 0.427)
Er (0.427, 0.426, 0.095)
Er (0.573, 0.573, 0.905)
Er (0.573, 0.905, 0.573)
Er (0.717, 0.000, 0.283)
Er (0.717, 0.283, 0.000)
Er (0.905, 0.574, 0.573)
Sc (0.155, 0.155, 0.486)
Sc (0.155, 0.486, 0.155)
Sc (0.486, 0.155, 0.155)
Sc (0.500, 0.500, 0.500)
Sc (0.514, 0.845, 0.845)
Sc (0.845, 0.514, 0.845)
Sc (0.845, 0.845, 0.514)

2.
A relaxed Y6TlSi2 crystal. Source: the Alexandria database, functional PBE.

Computed properties:
**E_form (uncorrected)**: -536 meV per atom
**Symmetry**: Immm, No. 71
**Crystal system**: orthorhombic
**Total magnetic moment**: 0.0000 μB per atom

Unit cell a=8.550 b=8.550 c=8.550 alpha=112.22 beta=110.84 gamma=105.43
Element x y z (fractional)
Y (0.036, 0.240, 0.796)
Y (0.184, 0.278, 0.462)
Y (0.184, 0.722, 0.906)
Y (0.321, 0.023, 0.702)
Y (0.321, 0.619, 0.298)
Y (0.444, 0.240, 0.204)
Y (0.556, 0.760, 0.796)
Y (0.679, 0.381, 0.702)
Y (0.679, 0.977, 0.298)
Y (0.816, 0.278, 0.094)
Y (0.816, 0.722, 0.538)
Y (0.964, 0.760, 0.204)
Tl (0.000, 0.000, 0.000)
Tl (0.500, 0.500, 0.000)
Si (0.116, 0.616, 0.500)
Si (0.369, 0.000, 0.369)
Si (0.631, 0.000, 0.631)
Si (0.884, 0.384, 0.500)